*i*
Ru2IF | GGA-PBE | relaxed

Unit cell a=6.1970 b=6.1970 c=6.1970 alpha=90.00 beta=90.00 gamma=90.00
Sites, in units of the cell vectors:
Ru1 0.2500 0.2500 0.2500
Ru2 0.2500 0.2500 0.7500
Ru3 0.2500 0.7500 0.2500
Ru4 0.2500 0.7500 0.7500
Ru5 0.7500 0.2500 0.2500
Ru6 0.7500 0.2500 0.7500
Ru7 0.7500 0.7500 0.2500
Ru8 0.7500 0.7500 0.7500
I1 0.0000 0.0000 0.0000
I2 0.0000 0.5000 0.5000
I3 0.5000 0.0000 0.5000
I4 0.5000 0.5000 0.0000
F1 0.0000 0.0000 0.5000
F2 0.0000 0.5000 0.0000
F3 0.5000 0.0000 0.0000
F4 0.5000 0.5000 0.5000

Space group ... No. 225

=====

*ii*
Ru2IF | GGA-PBE | relaxed

Unit cell a=6.6633 b=6.6633 c=5.7839 alpha=90.00 beta=90.00 gamma=90.00
Sites, in units of the cell vectors:
Ru1 0.2157 0.2500 0.1250
Ru2 0.2500 0.7157 0.3750
Ru3 0.2500 0.7843 0.8750
Ru4 0.2843 0.2500 0.6250
Ru5 0.7157 0.7500 0.6250
Ru6 0.7500 0.2157 0.8750
Ru7 0.7500 0.2843 0.3750
Ru8 0.7843 0.7500 0.1250
I1 0.0000 0.0000 0.5000
I2 0.0000 0.5000 0.7500
I3 0.5000 0.0000 0.2500
I4 0.5000 0.5000 0.0000
F1 0.0000 0.0000 0.0000
F2 0.0000 0.5000 0.2500
F3 0.5000 0.0000 0.7500
F4 0.5000 0.5000 0.5000

Space group ... No. 122

=====

Which one sits at the top of the stability order? *i* does.

=====

*i*
RuI3F | GGA-PBE | relaxed

Unit cell a=5.3835 b=5.3835 c=5.3835 alpha=90.00 beta=90.00 gamma=90.00
Sites, in units of the cell vectors:
Ru1 0.0000 0.0000 0.0000
I1 0.0000 0.0000 0.5000
I2 0.0000 0.5000 0.0000
I3 0.5000 0.0000 0.0000
F1 0.5000 0.5000 0.5000

Space group ... No. 221

=====

*ii*
RuI3F | GGA-PBE | relaxed

Unit cell a=5.2793 b=5.2793 c=5.2793 alpha=90.00 beta=90.00 gamma=90.00
Sites, in units of the cell vectors:
Ru1 0.0000 0.0000 0.0000
I1 0.0000 0.5000 0.5000
I2 0.5000 0.0000 0.5000
I3 0.5000 0.5000 0.0000
F1 0.5000 0.5000 0.5000

Space group ... No. 221

=====

Which one sits at the top of the stability order? *i* does.